The following is a DFT calculation (PBE-GGA) of a geometry-optimized Te2PtS structure.

## Properties
As for the formation energy from raw total energies: 0.57 eV per formula unit. The calculation puts the density at 6673 kg/m3. As for the energy: -15.9 eV/f.u. The calculated volume comes out at 120.0 Å³/f.u.

Cell lengths 6.0930, 6.0930, 7.7698 Å; angles 66.92, 66.92, 90.00 degrees
Last column: nearest neighbours and their distance in Å.
Positions (direct):
S: 0.2500 0.7500 0.5000  4 Te 2.81
S: 0.5000 0.5000 0.0000  4 Te 2.81
Te: 0.8750 0.9063 0.7500  2 Pt 2.59, 2 S 2.81
Te: 0.6563 0.1250 0.2500  2 Pt 2.59, 2 S 2.81
Te: 0.3750 0.3437 0.7500  2 Pt 2.59, 2 S 2.81
Te: 0.0937 0.6250 0.2500  2 Pt 2.59, 2 S 2.81
Pt: 0.0000 0.0000 0.0000  4 Te 2.59
Pt: 0.7500 0.2500 0.5000  4 Te 2.59


The following is a DFT calculation (PBE-GGA) of a geometry-optimized W3N4 structure.

## Properties
As for the formation energy from raw total energies: -0.46 eV per formula unit. The calculation puts the density at 13370 kg/m3. As for the energy: -72.6 eV/f.u. The calculated volume comes out at 75.5 Å³/f.u.

Cell lengths 4.2257, 4.2257, 4.2257 Å; angles 90.00, 90.00, 90.00 degrees
Last column: nearest neighbours and their distance in Å.
Positions (direct):
N: 0.5000 0.0000 0.0000  4 W 2.11
N: 0.5000 0.5000 0.5000  6 W 2.11
N: 0.0000 0.0000 0.5000  4 W 2.11
N: 0.0000 0.5000 0.0000  4 W 2.11
W: 0.5000 0.5000 0.0000  6 N 2.11
W: 0.0000 0.5000 0.5000  6 N 2.11
W: 0.5000 0.0000 0.5000  6 N 2.11